KLiCu2Br4: relaxed, PBE-GGA.

Unit cell a=6.8148 b=6.8197 c=6.8197 alpha=72.46 beta=60.02 gamma=60.02
Atoms (fractional coordinates):
Br1 0.4379 0.1578 0.4998
Br2 0.5621 0.5002 0.8422
Br3 0.0955 0.8422 0.5002
Cu1 0.1494 0.3506 0.3506
K1 0.0000 0.0000 0.0000
Li1 0.5000 0.5000 0.5000
Cu2 0.8506 0.6494 0.6494
Br4 0.9045 0.4998 0.1578

Values from the calculation:
Space group: I222 (23)
Theoretical density in g cm⁻³: 3.4
Uncorrected formation energy in eV per atom: -0.947
DOS at the Fermi energy in states/eV per atom: 0.00